Computed, not measured: an optimized crystal structure of Be2FeO at the PBE with a Hubbard U level of DFT.

The calculation puts the raw total energy at -4.98 eV/atom. The total moment is 0.965 μB per atom.

The structure belongs to space group I-42d (No. 122); the cell edges are 5.021, 5.021 and 7.066 Å and the angles 90.00°, 90.00° and 90.00°. The asymmetric unit holds Be at (0.119, 0.250, 0.125), Fe at (0.000, 0.000, 0.500) and O at (0.000, 0.000, 0.000).